BeSnSbAs, relaxed, DFT PBE; symmetry = No. 8; formation energy without anion corrections = 0.035 eV/atom; crystal system = monoclinic
1.0
7.162 0.000 0.000
0.000 4.134 0.000
-2.384 0.000 6.990
Be Sn Sb As
2 2 2 2
Direct
0.000 0.000 0.000
0.500 0.500 0.000
0.028 0.500 0.578
0.528 0.000 0.578
0.125 0.000 0.368
0.625 0.500 0.368
0.151 0.500 0.953
0.651 0.000 0.953

---

BeSb2TeAs, relaxed, DFT PBE; relative energy among the computed polymorphs = 0 meV/atom; symmetry = No. 123; formation energy without anion corrections = 0.557 eV/atom; crystal system = tetragonal
1.0
4.884 0.000 0.000
0.000 4.884 0.000
0.000 0.000 5.014
Be Sb Te As
1 2 1 1
Direct
0.000 0.000 0.000
0.000 0.500 0.000
0.500 0.000 0.000
0.000 0.000 0.500
0.500 0.500 0.500

---

BeSb2TeAs, relaxed, DFT PBE; relative energy among the computed polymorphs = 549 meV/atom; symmetry = No. 123; formation energy without anion corrections = 1.106 eV/atom; crystal system = tetragonal
1.0
5.324 0.000 0.000
0.000 5.324 0.000
0.000 0.000 5.515
Be Sb Te As
1 2 1 1
Direct
0.000 0.000 0.000
0.000 0.500 0.500
0.500 0.000 0.500
0.500 0.500 0.000
0.500 0.500 0.500

---

Going through the records in order, we get ρ values of 5.2, 6.3, 4.8 g/cm³.
Going through the records in order, we get M_tot values of 0.000, 0.000, 0.000 Bohr magnetons per cell.